w) Here is a relaxed La4In crystal from the Alexandria database. Energies are from PBE-GGA.

## Properties
Its density of states at the Fermi level is 9.09 states/eV/cell. As for the space group: No. 229. The calculated volume is 40.7 Å³ per atom.

Cell: 6.420 6.420 6.420 Å, 109.47 109.47 109.47°
Each line ends with the local moment (μB).
Sites, in units of the cell vectors:
La: 0.500 0.000 0.000  0.07
La: 0.500 0.500 0.500  0.07
La: 0.000 0.500 0.000  0.07
La: 0.000 0.000 0.500  0.07
In: 0.000 0.000 0.000  -0.01

***

x) Here is a relaxed La4In crystal from the Alexandria database. Energies are from PBE-GGA.

## Properties
Its density of states at the Fermi level is 10.54 states/eV/cell. As for the space group: No. 221. The calculated volume is 44.4 Å³ per atom.

Cell: 6.056 6.056 6.056 Å, 90.00 90.00 90.00°
Sites, in units of the cell vectors:
In: 0.500 0.500 0.500
La: 0.000 0.000 0.000
La: 0.500 0.500 0.000
La: 0.000 0.500 0.500
La: 0.500 0.000 0.500

***

y) Here is a relaxed La4In crystal from the Alexandria database. Energies are from PBE-GGA.

## Properties
Its density of states at the Fermi level is 11.86 states/eV/cell. As for the space group: No. 2. The calculated volume is 33.2 Å³ per atom.

Cell: 6.278 5.000 12.574 Å, 113.36 80.81 113.49°
Sites, in units of the cell vectors:
La: 0.484 0.485 0.043
La: 0.484 0.484 0.543
La: 0.714 0.898 0.842
La: 0.715 0.899 0.342
La: 0.885 0.301 0.658
La: 0.116 0.716 0.457
La: 0.116 0.715 0.957
La: 0.886 0.302 0.158
In: 0.300 0.100 0.750
In: 0.300 0.100 0.250

***

z) Here is a relaxed La4In crystal from the Alexandria database. Energies are from PBE-GGA.

## Properties
Its density of states at the Fermi level is 12.55 states/eV/cell. As for the space group: No. 14. The calculated volume is 33.5 Å³ per atom.

Cell: 6.130 6.383 9.432 Å, 114.75 90.00 90.00°
Sites, in units of the cell vectors:
La: 0.105 0.435 0.807
La: 0.019 0.831 0.607
La: 0.895 0.565 0.193
La: 0.519 0.169 0.893
La: 0.605 0.565 0.693
La: 0.981 0.169 0.393
La: 0.395 0.435 0.307
La: 0.481 0.831 0.107
In: 0.000 0.000 0.000
In: 0.500 0.000 0.500

***

Computed energies relative to the best structure, in meV/atom: w) 472; x) 540; y) 0; z) 60

***

w) Here is a relaxed La5In4 crystal from the Alexandria database. Energies are from PBE-GGA.

## Properties
Its density of states at the Fermi level is 9.67 states/eV/cell. As for the space group: No. 12. The calculated volume is 33.1 Å³ per atom.

Cell: 5.081 6.336 10.417 Å, 81.60 75.88 66.36°
Sites, in units of the cell vectors:
In: 0.547 0.741 0.165
In: 0.372 0.634 0.621
In: 0.628 0.366 0.379
In: 0.453 0.259 0.835
La: 0.244 0.343 0.170
La: 0.756 0.657 0.830
La: 0.000 0.000 0.000
La: 0.903 0.793 0.400
La: 0.097 0.207 0.600

***

x) Here is a relaxed La5In4 crystal from the Alexandria database. Energies are from PBE-GGA.

## Properties
Its density of states at the Fermi level is 9.05 states/eV/cell. As for the space group: No. 139. The calculated volume is 30.2 Å³ per atom.

Cell: 7.775 7.775 7.775 Å, 95.97 95.97 142.38°
Sites, in units of the cell vectors:
La: 0.329 0.329 0.658
La: 0.671 0.329 0.000
La: 0.000 0.000 0.000
La: 0.671 0.671 0.342
La: 0.329 0.671 0.000
In: 0.000 0.661 0.661
In: 0.661 0.000 0.661
In: 0.000 0.339 0.339
In: 0.339 0.000 0.339

***

Computed energies relative to the best structure, in meV/atom: w) 0; x) 147